Density functional theory data (GGA-PBE) for a relaxed structure of AlAg2Pt2.

Cell and atoms, written as POSCAR:
```
AlAg2Pt2
1.0
6.300 0.000 0.000
0.000 6.300 0.000
0.000 0.000 4.465
Ag Al Pt
4 2 4
Cartesian
4.182 5.268 2.233
1.032 4.182 2.233
2.118 1.032 2.233
5.268 2.118 2.233
3.150 3.150 0.000
0.000 0.000 0.000
2.241 5.391 0.000
4.059 0.909 0.000
0.909 2.241 0.000
5.391 4.059 0.000
```

Calculated values
Energy relative to the elements ... -312 meV per atom
V ... 177.2 Å³ per cell
DOS(E_F) ... 2.661 states/eV/cell
SG ... P4/mbm, No. 127

Density functional theory data (GGA-PBE) for a relaxed structure of Al2AgPt.

Cell and atoms, written as POSCAR:
```
Al2AgPt
1.0
3.444 0.000 0.000
0.000 3.445 0.000
0.000 0.000 5.401
Al Ag Pt
2 1 1
Cartesian
0.000 0.000 5.310
1.722 1.723 1.519
1.722 1.723 4.204
0.000 0.000 2.470
```

Calculated values
Energy relative to the elements ... -515 meV per atom
V ... 64.1 Å³ per cell
DOS(E_F) ... 0.309 states/eV/cell
SG ... P4mm, No. 99

Density functional theory data (GGA-PBE) for a relaxed structure of Al2AgPt.

Cell and atoms, written as POSCAR:
```
Al2AgPt
1.0
-2.323 -1.328 3.195
0.523 -3.854 1.497
2.633 -0.116 4.585
Pt Ag Al
1 1 2
Cartesian
1.299 -3.637 7.588
0.563 -2.576 4.776
-0.013 -1.435 2.113
2.032 -0.415 4.023
```

Calculated values
Energy relative to the elements ... -476 meV per atom
V ... 70.8 Å³ per cell
DOS(E_F) ... 1.509 states/eV/cell
SG ... R3m, No. 160

Density functional theory data (GGA-PBE) for a relaxed structure of Al2AgPt9.

Cell and atoms, written as POSCAR:
```
Al2AgPt9
1.0
-0.145 1.233 3.751
3.307 -2.013 0.789
6.463 9.493 -2.870
Pt Al Ag
9 2 1
Cartesian
3.766 2.819 1.300
3.159 5.363 0.440
4.885 3.740 -1.041
2.787 0.659 -0.109
6.983 6.822 -1.972
1.581 -0.390 2.270
1.061 2.281 1.372
5.860 5.894 0.370
5.257 8.444 -0.492
4.316 6.340 -1.917
2.147 3.153 -0.953
0.000 0.000 0.000
```

Calculated values
Energy relative to the elements ... -444 meV per atom
V ... 184.8 Å³ per cell
DOS(E_F) ... 13.798 states/eV/cell
SG ... P4/mmm, No. 123

Density functional theory data (GGA-PBE) for a relaxed structure of Al3AgPt.

Cell and atoms, written as POSCAR:
```
Al3AgPt
1.0
-0.735 -0.379 4.698
4.334 -1.924 0.522
1.854 4.348 0.641
Pt Ag Al
1 1 3
Cartesian
0.000 0.000 0.000
2.726 1.022 2.931
0.927 2.174 0.320
2.167 -0.962 0.261
-0.367 -0.190 2.349
```

Calculated values
Energy relative to the elements ... -117 meV per atom
V ... 108.5 Å³ per cell
DOS(E_F) ... 2.035 states/eV/cell
SG ... Pm-3m, No. 221

Density functional theory data (GGA-PBE) for a relaxed structure of Al2AgPt.

Cell and atoms, written as POSCAR:
```
Al2AgPt
1.0
4.740 0.000 0.000
0.000 2.934 -0.001
0.000 0.003 4.543
Pt Al Ag
1 2 1
Cartesian
0.000 1.102 2.260
2.370 1.101 1.086
0.000 2.569 0.084
2.370 2.569 3.381
```

Calculated values
Energy relative to the elements ... -466 meV per atom
V ... 63.2 Å³ per cell
DOS(E_F) ... 1.485 states/eV/cell
SG ... Pmm2, No. 25

Density functional theory data (GGA-PBE) for a relaxed structure of AlAgPt3.

Cell and atoms, written as POSCAR:
```
AlAgPt3
1.0
-0.948 4.721 0.696
-0.708 0.562 -4.780
-4.719 -1.032 0.578
Pt Al Ag
3 1 1
Cartesian
-2.360 -0.516 0.289
-0.474 2.360 0.348
-0.354 0.281 -2.390
-3.187 2.125 -1.753
0.000 0.000 0.000
```

Calculated values
Energy relative to the elements ... 1317 meV per atom
V ... 115.2 Å³ per cell
DOS(E_F) ... 4.353 states/eV/cell
SG ... Pm-3m, No. 221

Density functional theory data (GGA-PBE) for a relaxed structure of AlAgPt3.

Cell and atoms, written as POSCAR:
```
AlAgPt3
1.0
-2.771 -1.530 -3.294
-1.817 -3.003 2.924
-3.144 3.083 1.213
Pt Ag Al
3 1 1
Cartesian
-1.572 1.542 0.607
-0.908 -1.502 1.462
-1.385 -0.765 -1.647
-3.866 -0.725 0.422
0.000 0.000 0.000
```

Calculated values
Energy relative to the elements ... 311 meV per atom
V ... 95.3 Å³ per cell
DOS(E_F) ... 0.032 states/eV/cell
SG ... Pm-3m, No. 221